Record 1
# CrReSn3 PBE-GGA relaxed
# - Energy above the most stable polymorph in this dataset: 0.000 eV/atom
data_CrReSn3
_chemical_formula_sum 'Cr1 Re1 Sn3'
_space_group_name_H-M_alt 'P m -3 m'
_space_group_IT_number 221
_space_group_name_Hall '-P 4 2 3'
_cell_length_a 5.2032
_cell_length_b 5.2032
_cell_length_c 5.2032
_cell_angle_alpha 90.00
_cell_angle_beta 90.00
_cell_angle_gamma 90.00
loop_
_atom_site_label
_atom_site_type_symbol
_atom_site_fract_x
_atom_site_fract_y
_atom_site_fract_z
_atom_site_occupancy
Cr1 Cr 0.0000 0.0000 0.0000 1
Re1 Re 0.5000 0.5000 0.5000 1
Sn1 Sn 0.0000 0.5000 0.5000 1


Record 2
# Nd4Hg2Ir PBE-GGA relaxed
# - Energy above the most stable polymorph in this dataset: 0.107 eV/atom
data_Nd4Hg2Ir
_chemical_formula_sum 'Nd8 Hg4 Ir2'
_space_group_name_H-M_alt 'P 1 21/m 1'
_space_group_IT_number 11
_space_group_name_Hall '-P 2yb'
_cell_length_a 6.0938
_cell_length_b 6.7161
_cell_length_c 10.3068
_cell_angle_alpha 90.00
_cell_angle_beta 103.40
_cell_angle_gamma 90.00
loop_
_atom_site_label
_atom_site_type_symbol
_atom_site_fract_x
_atom_site_fract_y
_atom_site_fract_z
_atom_site_occupancy
Nd1 Nd 0.1549 0.2500 0.0952 1
Nd2 Nd 0.2571 0.0109 0.7488 1
Nd3 Nd 0.2981 0.7500 0.4310 1
Hg1 Hg 0.1619 0.2500 0.4419 1
Hg2 Hg 0.3907 0.7500 0.0118 1
Ir1 Ir 0.0824 0.7500 0.1732 1


Record 3
# TmGaCu11 PBE-GGA relaxed
# - E_tot: -4.165 eV/atom
data_TmGaCu11
_chemical_formula_sum 'Tm2 Ga2 Cu22'
_space_group_name_H-M_alt 'C 1 2/m 1'
_space_group_IT_number 12
_space_group_name_Hall '-C 2y'
_cell_length_a 4.8378
_cell_length_b 11.9363
_cell_length_c 6.5058
_cell_angle_alpha 90.00
_cell_angle_beta 111.14
_cell_angle_gamma 90.00
loop_
_atom_site_label
_atom_site_type_symbol
_atom_site_fract_x
_atom_site_fract_y
_atom_site_fract_z
_atom_site_occupancy
Tm1 Tm 0.0000 0.0000 0.0000 1
Ga1 Ga 0.0000 0.5000 0.5000 1
Cu1 Cu 0.0000 0.0000 0.5000 1
Cu2 Cu 0.1067 0.3896 0.2176 1
Cu3 Cu 0.1656 0.1792 0.3509 1
Cu4 Cu 0.2500 0.2500 0.0000 1